1.
AlSe2Cl | PBE | relaxed

Structure (POSCAR):
```
AlSe2Cl
1.0
5.982 -1.751 0.000
5.982 1.751 0.000
-1.183 0.000 5.061
Al Se Cl
1 2 1
direct
0.000 0.000 0.000
0.386 0.386 0.681
0.511 0.511 0.369
0.657 0.657 0.013
```

Results
energy relative to the elements, uncorrected: -0.535 eV per atom
symmetry: No. 8
crystal system: monoclinic
ΔE to the lowest computed polymorph: 179 meV per atom

***

2.
AlSe2Cl | PBE | relaxed

Structure (POSCAR):
```
AlSe2Cl
1.0
0.000 3.371 3.371
3.371 0.000 3.371
3.371 3.371 0.000
Al Se Cl
1 2 1
direct
0.000 0.000 0.000
0.250 0.250 0.250
0.750 0.750 0.750
0.500 0.500 0.500
```

Results
energy relative to the elements, uncorrected: 0.210 eV per atom
symmetry: No. 225
crystal system: cubic
ΔE to the lowest computed polymorph: 925 meV per atom

***

3.
AlSe2Cl | PBE | relaxed

Structure (POSCAR):
```
AlSe2Cl
1.0
3.750 0.000 0.000
0.000 3.872 0.000
0.000 0.000 6.531
Al Se Cl
1 2 1
direct
0.000 0.000 0.000
0.000 0.500 0.500
0.500 0.000 0.500
0.500 0.500 0.000
```

Results
energy relative to the elements, uncorrected: -0.053 eV per atom
symmetry: No. 47
crystal system: orthorhombic
ΔE to the lowest computed polymorph: 662 meV per atom

***

4.
AlSe2Cl | PBE | relaxed

Structure (POSCAR):
```
AlSe2Cl
1.0
5.398 0.000 0.000
0.000 3.322 0.000
-1.388 0.000 6.331
Al Se Cl
1 2 1
direct
0.000 0.000 0.000
0.392 0.000 0.268
0.675 0.500 0.073
0.056 0.500 0.757
```

Results
energy relative to the elements, uncorrected: -0.505 eV per atom
symmetry: No. 6
crystal system: monoclinic
ΔE to the lowest computed polymorph: 210 meV per atom